Entry 1:
Entry from Alexandria via LeMat-Bulk: an optimized crystal structure of K2MgCdBr6 (PBE).

abc: 7.475 7.737 13.062
angles: 90.00 124.86 90.00
Atoms (fractional coordinates):
K 0.228 0.070 0.250
K 0.228 0.430 0.750
K 0.772 0.570 0.250
K 0.772 0.930 0.750
Mg 0.500 0.000 0.000
Mg 0.500 0.500 0.500
Cd 0.000 0.000 0.500
Cd 0.000 0.500 0.000
Br 0.163 0.196 0.957
Br 0.163 0.304 0.457
Br 0.262 0.706 0.957
Br 0.262 0.794 0.457
Br 0.342 0.013 0.755
Br 0.342 0.487 0.255
Br 0.658 0.513 0.745
Br 0.658 0.987 0.245
Br 0.738 0.206 0.543
Br 0.738 0.294 0.043
Br 0.837 0.696 0.543
Br 0.837 0.804 0.043

Properties
* E_form (uncorrected): -1376 meV/atom
* density of states at the Fermi level: 0.0 states/eV/cell
* mass density: 3.720 g/cm³
* magnetization: 0.000 Bohr magnetons per cell
* space group: P2_1/c, No. 14

Entry 2:
Entry from Alexandria via LeMat-Bulk: an optimized crystal structure of K2MnCdBr6 (PBE).

abc: 7.462 7.727 13.050
angles: 90.00 124.84 90.00
Atoms (fractional coordinates):
K 0.227 0.071 0.249
K 0.227 0.429 0.749
K 0.773 0.571 0.251
K 0.773 0.929 0.751
Mn 0.000 0.000 0.500
Mn 0.000 0.500 0.000
Cd 0.500 0.000 0.000
Cd 0.500 0.500 0.500
Br 0.151 0.206 0.957
Br 0.151 0.294 0.457
Br 0.252 0.694 0.958
Br 0.252 0.806 0.458
Br 0.330 0.011 0.744
Br 0.330 0.489 0.244
Br 0.670 0.511 0.756
Br 0.670 0.989 0.256
Br 0.748 0.194 0.542
Br 0.748 0.306 0.042
Br 0.849 0.706 0.543
Br 0.849 0.794 0.043

Properties
* E_form (uncorrected): -1176 meV/atom
* mass density: 3.899 g/cm³
* magnetization: 10.000 Bohr magnetons per cell
* space group: P2_1/c, No. 14

Entry 3:
Entry from Alexandria via LeMat-Bulk: an optimized crystal structure of KMnCd2Br8 (PBE).

abc: 6.685 6.787 9.641
angles: 83.58 89.34 70.82
Atoms (fractional coordinates):
K 0.000 0.000 0.000
Mn 0.000 0.000 0.500
Cd 0.354 0.371 0.283
Cd 0.646 0.629 0.717
Br 0.199 0.745 0.696
Br 0.234 0.213 0.523
Br 0.267 0.777 0.304
Br 0.312 0.294 0.035
Br 0.688 0.706 0.965
Br 0.733 0.223 0.696
Br 0.766 0.787 0.477
Br 0.801 0.255 0.304

Properties
* E_form (uncorrected): -888 meV/atom
* mass density: 3.876 g/cm³
* magnetization: 3.974 Bohr magnetons per cell
* space group: P-1, No. 2